(1)
Pu3TcGe2 | Alexandria via LeMat-Bulk | PBE | relaxed; DFT formation energy = -0.313 eV/atom; SG = Pnma, No. 62; offset from the most stable computed form = 0 meV per atom; magnetization = 5.70 μB per formula unit; electronic total energy = -257.89 eV for the cell shown
1.0
4.590 0.000 0.000
0.000 9.071 0.000
0.000 0.000 11.723
Pu Tc Ge
12 4 8
direct
0.250 0.398 0.056
0.750 0.602 0.944
0.750 0.898 0.444
0.250 0.102 0.556
0.250 0.743 0.243
0.750 0.257 0.757
0.750 0.243 0.257
0.250 0.757 0.743
0.250 0.390 0.339
0.750 0.610 0.661
0.750 0.890 0.161
0.250 0.110 0.839
0.250 0.076 0.081
0.750 0.924 0.919
0.750 0.576 0.419
0.250 0.424 0.581
0.250 0.684 0.492
0.750 0.316 0.508
0.750 0.184 0.008
0.250 0.816 0.992
0.250 0.051 0.301
0.750 0.949 0.699
0.750 0.551 0.199
0.250 0.449 0.801

---

(2)
Pu4TcGe2 | Alexandria via LeMat-Bulk | PBE | relaxed; DFT formation energy = -0.073 eV/atom; SG = R-3m, No. 166; magnetization = 21.18 μB per formula unit; electronic total energy = -77.44 eV for the cell shown
1.0
5.114 0.000 0.000
2.557 4.428 0.000
2.557 1.476 6.560
Pu Tc Ge
4 1 2
direct
0.426 0.426 0.723
0.274 0.274 0.179
0.726 0.726 0.821
0.574 0.574 0.277
0.000 0.000 0.000
0.127 0.127 0.618
0.873 0.873 0.382

---

(3)
Pu7TcGe4 | Alexandria via LeMat-Bulk | PBE | relaxed; DFT formation energy = -0.058 eV/atom; SG = C2/m, No. 12; magnetization = 15.26 μB per formula unit; electronic total energy = -129.86 eV for the cell shown
1.0
5.401 0.000 0.000
2.701 9.083 0.010
2.701 -0.068 5.400
Pu Tc Ge
7 1 4
direct
0.818 0.904 0.461
0.182 0.096 0.539
0.047 0.641 0.266
0.953 0.359 0.734
0.319 0.582 0.780
0.500 0.000 0.000
0.681 0.418 0.220
0.000 0.000 0.000
0.567 0.232 0.634
0.433 0.768 0.366
0.719 0.678 0.883
0.281 0.322 0.117

---

(4)
Pu2TcGe2 | Alexandria via LeMat-Bulk | PBE | relaxed; DFT formation energy = -0.353 eV/atom; SG = C2/m, No. 12; offset from the most stable computed form = 0 meV per atom; magnetization = 10.77 μB per formula unit; electronic total energy = -100.06 eV for the cell shown
1.0
-3.084 -0.984 2.809
-0.684 -5.649 0.540
4.779 -1.001 8.166
Pu Tc Ge
4 2 4
direct
0.677 0.324 0.322
0.910 0.283 0.897
0.323 0.676 0.678
0.090 0.717 0.103
0.666 0.048 0.620
0.334 0.952 0.380
0.071 0.281 0.576
0.626 0.868 0.881
0.929 0.719 0.424
0.374 0.132 0.119

---

(5)
Pu3Tc4Ge4 | Alexandria via LeMat-Bulk | PBE | relaxed; DFT formation energy = -0.282 eV/atom; SG = Immm, No. 71; offset from the most stable computed form = 0 meV per atom; magnetization = 13.37 μB per formula unit; electronic total energy = -106.03 eV for the cell shown
1.0
4.097 0.000 -1.128
-0.725 5.857 -2.633
0.081 0.176 8.300
Pu Tc Ge
3 4 4
direct
0.142 0.142 0.283
0.858 0.858 0.717
0.000 0.500 0.000
0.330 0.103 0.661
0.670 0.442 0.339
0.670 0.897 0.339
0.330 0.558 0.661
0.198 0.698 0.397
0.802 0.302 0.603
0.500 0.808 0.000
0.500 0.192 0.000

---

(6)
Pu2TcGe2 | Alexandria via LeMat-Bulk | PBE | relaxed; DFT formation energy = -0.320 eV/atom; SG = C2/m, No. 12; offset from the most stable computed form = 33 meV per atom; magnetization = 0.26 μB per formula unit; electronic total energy = -99.73 eV for the cell shown
1.0
-0.234 0.757 4.085
-5.137 -1.514 2.106
1.595 -8.723 3.827
Pu Tc Ge
4 2 4
direct
0.303 0.287 0.107
0.505 0.327 0.662
0.697 0.713 0.893
0.495 0.673 0.338
0.780 0.125 0.315
0.220 0.875 0.685
0.983 0.152 0.881
0.157 0.241 0.445
0.017 0.848 0.119
0.843 0.759 0.555

---

(7)
PuTcGe3 | Alexandria via LeMat-Bulk | PBE | relaxed; DFT formation energy = -0.331 eV/atom; SG = P6_3/mmc, No. 194; magnetization = 4.81 μB per formula unit; electronic total energy = -80.41 eV for the cell shown
1.0
5.752 0.000 0.670
0.000 6.117 0.000
-0.613 -3.058 5.263
Pu Tc Ge
2 2 6
direct
0.250 0.333 0.667
0.750 0.667 0.333
0.000 0.000 0.000
0.500 0.000 0.000
0.750 0.610 0.805
0.750 0.195 0.805
0.250 0.805 0.610
0.750 0.195 0.390
0.250 0.805 0.195
0.250 0.390 0.195

---

(8)
Pu2Tc3Ge2 | Alexandria via LeMat-Bulk | PBE | relaxed; DFT formation energy = -0.205 eV/atom; SG = C2/m, No. 12; offset from the most stable computed form = 0 meV per atom; magnetization = 8.49 μB per formula unit; electronic total energy = -70.43 eV for the cell shown
1.0
3.355 0.000 0.000
-1.677 5.555 -0.038
0.000 -2.620 6.878
Pu Tc Ge
2 3 2
direct
0.893 0.786 0.232
0.107 0.214 0.768
0.500 0.000 0.000
0.635 0.270 0.463
0.365 0.730 0.537
0.835 0.671 0.780
0.165 0.329 0.220

---

What did the second record say?
Pu4TcGe2 | Alexandria via LeMat-Bulk | PBE | relaxed; DFT formation energy = -0.073 eV/atom; SG = R-3m, No. 166; magnetization = 21.18 μB per formula unit; electronic total energy = -77.44 eV for the cell shown
1.0
5.114 0.000 0.000
2.557 4.428 0.000
2.557 1.476 6.560
Pu Tc Ge
4 1 2
direct
0.426 0.426 0.723
0.274 0.274 0.179
0.726 0.726 0.821
0.574 0.574 0.277
0.000 0.000 0.000
0.127 0.127 0.618
0.873 0.873 0.382